1) ScCdHgAu | OQMD via LeMat-Bulk | PBE | relaxed; theoretical density = 11.36 g/cm³; magnetization = 0.003 μB per formula unit; SG = F-43m
1.0
0.000 3.436 3.436
3.436 0.000 3.436
3.436 3.436 0.000
Sc Cd Hg Au
1 1 1 1
Direct
0.000 0.000 0.000
0.500 0.500 0.500
0.750 0.750 0.750
0.250 0.250 0.250

***

2) ScCdHgAu | OQMD via LeMat-Bulk | PBE | relaxed; theoretical density = 11.53 g/cm³; magnetization = 0.001 μB per formula unit; SG = F-43m
1.0
0.000 3.419 3.419
3.419 0.000 3.419
3.419 3.419 0.000
Sc Cd Hg Au
1 1 1 1
Direct
0.000 0.000 0.000
0.250 0.250 0.250
0.750 0.750 0.750
0.500 0.500 0.500

***

3) ScCdHgAu | OQMD via LeMat-Bulk | PBE | relaxed; theoretical density = 11.40 g/cm³; magnetization = 0.002 μB per formula unit; SG = F-43m
1.0
0.000 3.432 3.432
3.432 0.000 3.432
3.432 3.432 0.000
Sc Cd Hg Au
1 1 1 1
Direct
0.000 0.000 0.000
0.750 0.750 0.750
0.500 0.500 0.500
0.250 0.250 0.250

***

1) is the most stable structure; the next one sits 0.099 eV/atom above it.

***

1) LiCd2Au | OQMD via LeMat-Bulk | PBE | relaxed; theoretical density = 9.04 g/cm³; SG = P6_3/mmc
1.0
4.654 0.000 0.000
-2.327 4.031 0.000
0.000 0.000 8.394
Li Cd Au
2 4 2
Direct
0.000 0.000 0.000
0.000 0.000 0.500
0.333 0.667 0.086
0.333 0.667 0.414
0.667 0.333 0.586
0.667 0.333 0.914
0.333 0.667 0.750
0.667 0.333 0.250

***

2) LiCd2Au | OQMD via LeMat-Bulk | PBE | relaxed; theoretical density = 9.57 g/cm³; SG = P4/mmm
1.0
3.475 0.000 0.000
0.000 3.475 0.000
0.000 0.000 6.162
Li Cd Au
1 2 1
Direct
0.000 0.000 0.000
0.500 0.500 0.244
0.500 0.500 0.756
0.000 0.000 0.500

***

3) LiCd2Au | OQMD via LeMat-Bulk | PBE | relaxed; theoretical density = 9.07 g/cm³; SG = P6_3/mmc
1.0
4.474 0.000 0.000
-2.237 3.874 0.000
0.000 0.000 9.057
Li Cd Au
2 4 2
Direct
0.333 0.667 0.250
0.667 0.333 0.750
0.333 0.667 0.583
0.333 0.667 0.917
0.667 0.333 0.083
0.667 0.333 0.417
0.000 0.000 0.250
0.000 0.000 0.750

***

2) is the most stable structure; the next one sits 0.054 eV/atom above it.

***

1) LiCd2Au | OQMD via LeMat-Bulk | PBE | relaxed; theoretical density = 9.60 g/cm³; SG = P4/mmm
1.0
4.257 0.000 0.000
0.000 4.257 0.000
0.000 0.000 4.094
Li Cd Au
1 2 1
Direct
0.000 0.000 0.000
0.000 0.500 0.500
0.500 0.000 0.500
0.500 0.500 0.000

***

2) LiCd2Au | OQMD via LeMat-Bulk | PBE | relaxed; theoretical density = 9.07 g/cm³; SG = Cmcm
1.0
2.241 -3.883 0.000
2.241 3.883 0.000
0.000 0.000 9.019
Li Cd Au
2 4 2
Direct
0.167 0.833 0.750
0.833 0.167 0.250
0.166 0.834 0.082
0.166 0.834 0.418
0.834 0.166 0.582
0.834 0.166 0.918
0.500 0.500 0.250
0.500 0.500 0.750

***

1) is the most stable structure; the next one sits 0.086 eV/atom above it.

***

1) LiCd2Au | OQMD via LeMat-Bulk | PBE | relaxed; theoretical density = 8.40 g/cm³; SG = P6_3/mmc
1.0
4.668 0.000 0.000
-2.334 4.043 0.000
0.000 0.000 8.980
Li Cd Au
2 4 2
Direct
0.333 0.667 0.250
0.667 0.333 0.750
0.333 0.667 0.593
0.333 0.667 0.907
0.667 0.333 0.093
0.667 0.333 0.407
0.000 0.000 0.000
0.000 0.000 0.500

***

2) LiCd2Au | OQMD via LeMat-Bulk | PBE | relaxed; theoretical density = 9.67 g/cm³; SG = I4/mmm
1.0
-2.334 2.334 3.377
2.334 -2.334 3.377
2.334 2.334 -3.377
Li Cd Au
1 2 1
Direct
0.000 0.000 0.000
0.250 0.750 0.500
0.750 0.250 0.500
0.500 0.500 0.000

***

2) is the most stable structure; the next one sits 0.127 eV/atom above it.

***

1) LiCd2Au | OQMD via LeMat-Bulk | PBE | relaxed; theoretical density = 9.81 g/cm³; SG = F-43m
1.0
0.000 3.310 3.310
3.310 0.000 3.310
3.310 3.310 0.000
Li Cd Au
1 2 1
Direct
0.000 0.000 0.000
0.500 0.500 0.500
0.750 0.750 0.750
0.250 0.250 0.250

***

2) LiCd2Au | OQMD via LeMat-Bulk | PBE | relaxed; theoretical density = 9.85 g/cm³; SG = I4/mmm
1.0
-2.335 2.335 3.314
2.335 -2.335 3.314
2.335 2.335 -3.314
Li Cd Au
1 2 1
Direct
0.000 0.000 0.000
0.250 0.750 0.500
0.750 0.250 0.500
0.500 0.500 0.000

***

2) is the most stable structure; the next one sits 0.045 eV/atom above it.

***

1) Li2CdAu | OQMD via LeMat-Bulk | PBE | relaxed; theoretical density = 7.98 g/cm³; SG = F-43m
1.0
0.000 3.228 3.228
3.228 0.000 3.228
3.228 3.228 0.000
Li Cd Au
2 1 1
Direct
0.000 0.000 0.000
0.250 0.250 0.250
0.750 0.750 0.750
0.500 0.500 0.500

***

2) Li2CdAu | OQMD via LeMat-Bulk | PBE | relaxed; theoretical density = 7.59 g/cm³; SG = Pnma
1.0
7.442 0.000 0.000
0.000 7.157 0.000
0.000 0.000 5.315
Li Cd Au
8 4 4
Direct
0.192 0.056 0.102
0.192 0.444 0.102
0.308 0.556 0.602
0.308 0.944 0.602
0.692 0.056 0.398
0.692 0.444 0.398
0.808 0.556 0.898
0.808 0.944 0.898
0.033 0.250 0.605
0.467 0.750 0.105
0.533 0.250 0.895
0.967 0.750 0.395
0.103 0.750 0.896
0.397 0.250 0.396
0.603 0.750 0.604
0.897 0.250 0.104

***

1) is the most stable structure; the next one sits 0.056 eV/atom above it.

***

1) LuMgCdAu | OQMD via LeMat-Bulk | PBE | relaxed; theoretical density = 10.08 g/cm³; magnetization = 0.002 μB per formula unit; SG = F-43m
1.0
0.000 3.473 3.473
3.473 0.000 3.473
3.473 3.473 0.000
Lu Mg Cd Au
1 1 1 1
Direct
0.000 0.000 0.000
0.500 0.500 0.500
0.250 0.250 0.250
0.750 0.750 0.750

***

2) LuMgCdAu | OQMD via LeMat-Bulk | PBE | relaxed; theoretical density = 10.35 g/cm³; magnetization = 0.001 μB per formula unit; SG = F-43m
1.0
0.000 3.442 3.442
3.442 0.000 3.442
3.442 3.442 0.000
Lu Mg Cd Au
1 1 1 1
Direct
0.000 0.000 0.000
0.250 0.250 0.250
0.750 0.750 0.750
0.500 0.500 0.500

***

3) LuMgCdAu | OQMD via LeMat-Bulk | PBE | relaxed; theoretical density = 10.24 g/cm³; magnetization = 0.002 μB per formula unit; SG = F-43m
1.0
0.000 3.455 3.455
3.455 0.000 3.455
3.455 3.455 0.000
Lu Mg Cd Au
1 1 1 1
Direct
0.000 0.000 0.000
0.250 0.250 0.250
0.500 0.500 0.500
0.750 0.750 0.750

***

1) is the most stable structure; the next one sits 0.121 eV/atom above it.

***

1) LuCdPdAu | OQMD via LeMat-Bulk | PBE | relaxed; theoretical density = 12.51 g/cm³; magnetization = 0.003 μB per formula unit; SG = F-43m
1.0
0.000 3.397 3.397
3.397 0.000 3.397
3.397 3.397 0.000
Lu Cd Pd Au
1 1 1 1
Direct
0.000 0.000 0.000
0.250 0.250 0.250
0.500 0.500 0.500
0.750 0.750 0.750

***

2) LuCdPdAu | OQMD via LeMat-Bulk | PBE | relaxed; theoretical density = 12.51 g/cm³; magnetization = 0.001 μB per formula unit; SG = F-43m
1.0
0.000 3.397 3.397
3.397 0.000 3.397
3.397 3.397 0.000
Lu Cd Pd Au
1 1 1 1
Direct
0.000 0.000 0.000
0.500 0.500 0.500
0.250 0.250 0.250
0.750 0.750 0.750

***

3) LuCdPdAu | OQMD via LeMat-Bulk | PBE | relaxed; theoretical density = 12.54 g/cm³; magnetization = 0.002 μB per formula unit; SG = F-43m
1.0
0.000 3.394 3.394
3.394 0.000 3.394
3.394 3.394 0.000
Lu Cd Pd Au
1 1 1 1
Direct
0.000 0.000 0.000
0.750 0.750 0.750
0.250 0.250 0.250
0.500 0.500 0.500

***

2) is the most stable structure; the next one sits 0.170 eV/atom above it.

***

1) SrLuCdAu | OQMD via LeMat-Bulk | PBE | relaxed; theoretical density = 9.04 g/cm³; magnetization = 0.001 μB per formula unit; SG = F-43m
1.0
0.000 3.745 3.745
3.745 0.000 3.745
3.745 3.745 0.000
Sr Lu Cd Au
1 1 1 1
Direct
0.000 0.000 0.000
0.500 0.500 0.500
0.750 0.750 0.750
0.250 0.250 0.250

***

2) SrLuCdAu | OQMD via LeMat-Bulk | PBE | relaxed; theoretical density = 10.01 g/cm³; magnetization = 0.000 μB per formula unit; SG = F-43m
1.0
0.000 3.620 3.620
3.620 0.000 3.620
3.620 3.620 0.000
Sr Lu Cd Au
1 1 1 1
Direct
0.000 0.000 0.000
0.750 0.750 0.750
0.250 0.250 0.250
0.500 0.500 0.500

***

1) is the most stable structure; the next one sits 0.212 eV/atom above it.

***

1) LuZnCdAu | OQMD via LeMat-Bulk | PBE | relaxed; theoretical density = 11.60 g/cm³; magnetization = 0.001 μB per formula unit; SG = F-43m
1.0
0.000 3.401 3.401
3.401 0.000 3.401
3.401 3.401 0.000
Lu Zn Cd Au
1 1 1 1
Direct
0.000 0.000 0.000
0.500 0.500 0.500
0.250 0.250 0.250
0.750 0.750 0.750

***

2) LuZnCdAu | OQMD via LeMat-Bulk | PBE | relaxed; theoretical density = 11.81 g/cm³; magnetization = 0.001 μB per formula unit; SG = F-43m
1.0
0.000 3.381 3.381
3.381 0.000 3.381
3.381 3.381 0.000
Lu Zn Cd Au
1 1 1 1
Direct
0.000 0.000 0.000
0.250 0.250 0.250
0.750 0.750 0.750
0.500 0.500 0.500

***

3) LuZnCdAu | OQMD via LeMat-Bulk | PBE | relaxed; theoretical density = 11.58 g/cm³; magnetization = 0.002 μB per formula unit; SG = F-43m
1.0
0.000 3.404 3.404
3.404 0.000 3.404
3.404 3.404 0.000
Lu Zn Cd Au
1 1 1 1
Direct
0.000 0.000 0.000
0.250 0.250 0.250
0.500 0.500 0.500
0.750 0.750 0.750

***

3) is the most stable structure; the next one sits 0.066 eV/atom above it.